Material: Ce3PrAs4
Method: DFT, PBE
State: optimized geometry

a = 6.001 Å, b = 6.001 Å, c = 7.347 Å
α = 114.11°, β = 114.11°, γ = 90.00°
Last column: magnetic moment on the atom in μB.
Fractional coordinates of all 8 atoms:
Ce (0.250, 0.750, 0.500)  0.65
Ce (0.500, 0.500, 0.000)  0.60
Ce (0.750, 0.250, 0.500)  0.65
Pr (0.000, 0.000, 0.000)  0.02
As (0.500, 0.000, 0.000)  -0.02
As (0.254, 0.254, 0.507)  -0.03
As (0.746, 0.746, 0.493)  -0.03
As (0.000, 0.500, 0.000)  -0.02

Results
E_tot (eV/atom): -6.59
Polymorph energy (0 for the lowest one) (meV per atom): 2.4
Space-group type: No. 139

Material: GdDyRhPb
Method: DFT, PBE
State: optimized geometry

a = 5.175 Å, b = 5.175 Å, c = 5.175 Å
α = 60.00°, β = 60.00°, γ = 60.00°
Last column: magnetic moment on the atom in μB.
Fractional coordinates of all 4 atoms:
Dy (0.250, 0.250, 0.250)  0.00
Pb (0.500, 0.500, 0.500)  -0.01
Gd (0.750, 0.750, 0.750)  6.99
Rh (0.000, 0.000, 0.000)  -0.02

Results
E_tot (eV/atom): -7.94
Space-group type: No. 216